Record 1
Compound: TbPr6DyHo2
Source: Alexandria via LeMat-Bulk
Functional: PBE-GGA
Structure: optimized geometry

Cell: 9.001 9.001 9.720 Å, 93.98 93.98 117.63°
Fractional coordinates of all 20 atoms:
Tb: 0.028 0.972 0.750
Tb: 0.972 0.028 0.250
Pr: 0.008 0.564 0.688
Pr: 0.114 0.762 0.054
Pr: 0.238 0.886 0.446
Pr: 0.294 0.510 0.882
Pr: 0.436 0.992 0.812
Pr: 0.490 0.706 0.618
Pr: 0.510 0.294 0.382
Pr: 0.564 0.008 0.188
Pr: 0.706 0.490 0.118
Pr: 0.762 0.114 0.554
Pr: 0.886 0.238 0.946
Pr: 0.992 0.436 0.312
Dy: 0.411 0.589 0.250
Dy: 0.589 0.411 0.750
Ho: 0.200 0.296 0.547
Ho: 0.296 0.200 0.047
Ho: 0.704 0.800 0.953
Ho: 0.800 0.704 0.453

Output
- calculated formation energy (eV/atom) = 0.12
- DOS(E_F) (states/eV/atom) = 1.471

---

Record 2
Compound: Tb2PrDyHo2
Source: Alexandria via LeMat-Bulk
Functional: PBE-GGA
Structure: optimized geometry

Cell: 6.534 17.886 3.403 Å, 90.00 90.00 90.00°
Fractional coordinates of all 12 atoms:
Tb: 0.221 0.187 0.000
Tb: 0.279 0.687 0.500
Tb: 0.721 0.313 0.500
Tb: 0.779 0.813 0.000
Pr: 0.000 0.000 0.000
Pr: 0.500 0.500 0.500
Dy: 0.000 0.500 0.000
Dy: 0.500 0.000 0.500
Ho: 0.218 0.352 0.500
Ho: 0.282 0.852 0.000
Ho: 0.718 0.148 0.000
Ho: 0.782 0.648 0.500

Output
- calculated formation energy (eV/atom) = 0.28
- DOS(E_F) (states/eV/atom) = 1.627

---

Record 3
Compound: TbPr2Dy3Ho6
Source: Alexandria via LeMat-Bulk
Functional: PBE-GGA
Structure: optimized geometry

Cell: 6.172 6.172 11.782 Å, 94.99 94.99 119.96°
Fractional coordinates of all 12 atoms:
Tb: 0.000 0.000 0.000
Pr: 0.333 0.667 0.000
Pr: 0.667 0.333 0.000
Dy: 0.167 0.833 0.500
Dy: 0.500 0.500 0.500
Dy: 0.833 0.167 0.500
Ho: 0.085 0.418 0.253
Ho: 0.247 0.247 0.747
Ho: 0.418 0.085 0.253
Ho: 0.582 0.915 0.747
Ho: 0.753 0.753 0.253
Ho: 0.915 0.582 0.747

Output
- calculated formation energy (eV/atom) = 0.02
- DOS(E_F) (states/eV/atom) = 1.279

---

Record 4
Compound: Tb4Pr2DyHo2
Source: Alexandria via LeMat-Bulk
Functional: PBE-GGA
Structure: optimized geometry

Cell: 6.201 6.204 8.015 Å, 82.61 75.15 80.44°
Fractional coordinates of all 9 atoms:
Tb: 0.057 0.111 0.279
Tb: 0.278 0.554 0.389
Tb: 0.722 0.446 0.611
Tb: 0.943 0.889 0.721
Pr: 0.168 0.332 0.832
Pr: 0.832 0.668 0.168
Dy: 0.500 0.000 0.500
Ho: 0.391 0.777 0.944
Ho: 0.609 0.223 0.056

Output
- calculated formation energy (eV/atom) = 0.02
- DOS(E_F) (states/eV/atom) = 1.297

---

Record 5
Compound: Tb6PrDyHo2
Source: Alexandria via LeMat-Bulk
Functional: PBE-GGA
Structure: optimized geometry

Cell: 8.779 8.779 9.664 Å, 94.28 94.28 117.71°
Fractional coordinates of all 20 atoms:
Tb: 0.026 0.573 0.182
Tb: 0.119 0.751 0.556
Tb: 0.249 0.881 0.944
Tb: 0.293 0.503 0.378
Tb: 0.427 0.974 0.318
Tb: 0.497 0.707 0.122
Tb: 0.503 0.293 0.878
Tb: 0.573 0.026 0.682
Tb: 0.707 0.497 0.622
Tb: 0.751 0.119 0.056
Tb: 0.881 0.249 0.444
Tb: 0.974 0.427 0.818
Pr: 0.405 0.595 0.750
Pr: 0.595 0.405 0.250
Dy: 0.024 0.976 0.250
Dy: 0.976 0.024 0.750
Ho: 0.192 0.294 0.044
Ho: 0.294 0.192 0.544
Ho: 0.706 0.808 0.456
Ho: 0.808 0.706 0.956

Output
- calculated formation energy (eV/atom) = 0.12
- DOS(E_F) (states/eV/atom) = 1.504

---

Record 6
Compound: Tb6Pr2Dy3Ho
Source: Alexandria via LeMat-Bulk
Functional: PBE-GGA
Structure: optimized geometry

Cell: 6.195 6.195 11.861 Å, 94.97 94.97 119.97°
Fractional coordinates of all 12 atoms:
Tb: 0.085 0.417 0.753
Tb: 0.248 0.248 0.247
Tb: 0.417 0.085 0.753
Tb: 0.583 0.915 0.247
Tb: 0.752 0.752 0.753
Tb: 0.915 0.583 0.247
Pr: 0.333 0.667 0.500
Pr: 0.667 0.333 0.500
Dy: 0.166 0.834 0.000
Dy: 0.500 0.500 0.000
Dy: 0.834 0.166 0.000
Ho: 0.000 0.000 0.500

Output
- calculated formation energy (eV/atom) = 0.02
- DOS(E_F) (states/eV/atom) = 1.269

---

Record 7
Compound: Tb2Pr2DyHo4
Source: Alexandria via LeMat-Bulk
Functional: PBE-GGA
Structure: optimized geometry

Cell: 9.532 9.532 9.583 Å, 115.21 115.21 21.82°
Fractional coordinates of all 9 atoms:
Tb: 0.147 0.147 0.162
Tb: 0.853 0.853 0.838
Pr: 0.335 0.335 0.500
Pr: 0.665 0.665 0.500
Dy: 0.000 0.000 0.500
Ho: 0.185 0.185 0.837
Ho: 0.481 0.481 0.165
Ho: 0.519 0.519 0.835
Ho: 0.815 0.815 0.163

Output
- calculated formation energy (eV/atom) = 0.00
- DOS(E_F) (states/eV/atom) = 1.360

---

Record 8
Compound: Tb2Pr3DyHo6
Source: Alexandria via LeMat-Bulk
Functional: PBE-GGA
Structure: optimized geometry

Cell: 6.209 6.209 11.807 Å, 95.01 95.01 119.98°
Fractional coordinates of all 12 atoms:
Tb: 0.167 0.833 0.000
Tb: 0.833 0.167 0.000
Pr: 0.000 0.000 0.500
Pr: 0.333 0.667 0.500
Pr: 0.667 0.333 0.500
Dy: 0.500 0.500 0.000
Ho: 0.085 0.418 0.754
Ho: 0.249 0.249 0.246
Ho: 0.418 0.085 0.754
Ho: 0.582 0.915 0.246
Ho: 0.751 0.751 0.754
Ho: 0.915 0.582 0.246

Output
- calculated formation energy (eV/atom) = 0.02
- DOS(E_F) (states/eV/atom) = 1.250

---

Record 9
Compound: Tb2Pr2DyHo2
Source: Alexandria via LeMat-Bulk
Functional: PBE-GGA
Structure: optimized geometry

Cell: 6.153 6.153 11.880 Å, 108.24 108.24 33.33°
Fractional coordinates of all 7 atoms:
Tb: 0.226 0.226 0.365
Tb: 0.774 0.774 0.635
Pr: 0.328 0.328 0.914
Pr: 0.672 0.672 0.086
Dy: 0.000 0.000 0.500
Ho: 0.450 0.450 0.231
Ho: 0.550 0.550 0.769

Output
- calculated formation energy (eV/atom) = 0.08
- DOS(E_F) (states/eV/atom) = 1.656

---

Record 10
Compound: Tb6Pr2DyHo3
Source: Alexandria via LeMat-Bulk
Functional: PBE-GGA
Structure: optimized geometry

Cell: 6.191 6.191 11.851 Å, 94.98 94.98 119.97°
Fractional coordinates of all 12 atoms:
Tb: 0.085 0.417 0.754
Tb: 0.247 0.247 0.246
Tb: 0.417 0.085 0.754
Tb: 0.583 0.915 0.246
Tb: 0.753 0.753 0.754
Tb: 0.915 0.583 0.246
Pr: 0.333 0.667 0.500
Pr: 0.667 0.333 0.500
Dy: 0.000 0.000 0.500
Ho: 0.166 0.834 0.000
Ho: 0.500 0.500 0.000
Ho: 0.834 0.166 0.000

Output
- calculated formation energy (eV/atom) = 0.02
- DOS(E_F) (states/eV/atom) = 1.269

---

Record 11
Compound: Tb2Pr6Dy3Ho
Source: Alexandria via LeMat-Bulk
Functional: PBE-GGA
Structure: optimized geometry

Cell: 6.310 6.310 11.900 Å, 95.06 95.06 120.00°
Fractional coordinates of all 12 atoms:
Tb: 0.167 0.833 0.000
Tb: 0.833 0.167 0.000
Pr: 0.083 0.416 0.750
Pr: 0.251 0.251 0.250
Pr: 0.416 0.083 0.750
Pr: 0.584 0.917 0.250
Pr: 0.749 0.749 0.750
Pr: 0.917 0.584 0.250
Dy: 0.000 0.000 0.500
Dy: 0.333 0.667 0.500
Dy: 0.667 0.333 0.500
Ho: 0.500 0.500 0.000

Output
- calculated formation energy (eV/atom) = 0.01
- DOS(E_F) (states/eV/atom) = 1.119

---

Record 12
Compound: Tb2Pr5DyHo
Source: Alexandria via LeMat-Bulk
Functional: PBE-GGA
Structure: optimized geometry

Cell: 10.688 10.688 10.752 Å, 90.00 90.00 149.17°
Fractional coordinates of all 18 atoms:
Tb: 0.113 0.887 0.500
Tb: 0.115 0.885 0.069
Tb: 0.885 0.115 0.569
Tb: 0.887 0.113 0.000
Pr: 0.015 0.985 0.777
Pr: 0.279 0.721 0.074
Pr: 0.296 0.704 0.467
Pr: 0.384 0.616 0.782
Pr: 0.484 0.516 0.506
Pr: 0.516 0.484 0.006
Pr: 0.616 0.384 0.282
Pr: 0.704 0.296 0.967
Pr: 0.721 0.279 0.574
Pr: 0.985 0.015 0.277
Dy: 0.198 0.802 0.771
Dy: 0.802 0.198 0.271
Ho: 0.407 0.593 0.226
Ho: 0.593 0.407 0.726

Output
- calculated formation energy (eV/atom) = 0.14
- DOS(E_F) (states/eV/atom) = 1.573

---

- What is the calculated formation energy in the third record?
  0.02 eV/atom

---

What did the seventh record say?
Compound: Tb2Pr2DyHo4
Source: Alexandria via LeMat-Bulk
Functional: PBE-GGA
Structure: optimized geometry

Cell: 9.532 9.532 9.583 Å, 115.21 115.21 21.82°
Fractional coordinates of all 9 atoms:
Tb: 0.147 0.147 0.162
Tb: 0.853 0.853 0.838
Pr: 0.335 0.335 0.500
Pr: 0.665 0.665 0.500
Dy: 0.000 0.000 0.500
Ho: 0.185 0.185 0.837
Ho: 0.481 0.481 0.165
Ho: 0.519 0.519 0.835
Ho: 0.815 0.815 0.163

Output
- calculated formation energy (eV/atom) = 0.00
- DOS(E_F) (states/eV/atom) = 1.360

---

- What is the formula in the second record?
  Tb2PrDyHo2